The following is a DFT calculation (PBEsol) of an optimized crystal structure of ZrMoP2Os.

Structure (POSCAR):
```
ZrMoP2Os
1.0
-1.8854 -4.0069 0.7052
3.8668 -2.0065 -1.0628
1.3518 0.1723 4.5931
Zr P Os Mo
1 2 1 1
direct
0.5000 0.5000 0.5000 Zr
0.0000 0.5000 0.0000 P
0.5000 0.0000 0.0000 P
0.0000 0.0000 0.0000 Os
0.0000 0.0000 0.5000 Mo
```

Computed properties:
ΔE_f: 0.89 eV per atom
spin magnetization: 0.00 μB per cell
uncorrected energy: -8.043 eV per atom